Compound: RbFe2CoBr8
Source: Alexandria
Functional: PBE-GGA
Structure: optimized geometry

It has space group C2/m (No. 12), with a = 11.047 Å, b = 7.468 Å, c = 9.918 Å, α = 90.00°, β = 97.08° and γ = 90.00°. The distinct sites, in fractional coordinates, are Rb at (0.000, 0.000, 0.000), Fe at (0.118, 0.500, 0.298), Co at (0.000, 0.000, 0.500), Br at (0.015, 0.243, 0.693), Br at (0.186, 0.500, 0.082) and Br at (0.232, 0.000, 0.510).

Its total magnetization is 24.0 μB/cell. The uncorrected formation energy comes out at -622 meV/atom.